# 1
A plane-wave DFT calculation with GGA-PBE was carried out for crystalline NiBPdPt at its relaxed geometry.

Summary:
Calculated total energy: -5.6263 eV per atom

a b c (Å): 5.778 5.778 5.778
angles (deg): 90.00 90.00 90.00
Space group F-43m (No. 216)
Inequivalent atoms, fractional coordinates:
Ni: 0.000 0.000 0.000
B: 0.000 0.000 0.500
Pd: 0.250 0.250 0.750
Pt: 0.250 0.250 0.250


# 2
A plane-wave DFT calculation with GGA-PBE was carried out for crystalline Nb4P2CN at its relaxed geometry.

Summary:
Calculated total energy: -9.3872 eV per atom

a b c (Å): 3.3007 3.3007 11.6103
angles (deg): 90.00 90.00 120.00
Space group P-3m1 (No. 164)
Inequivalent atoms, fractional coordinates:
Nb: 0.3333 0.6667 0.1000
Nb: 0.3333 0.6667 0.4026
P: 0.3333 0.6667 0.7484
C: 0.0000 0.0000 0.0000
N: 0.0000 0.0000 0.5000


# 3
A plane-wave DFT calculation with GGA-PBE was carried out for crystalline Dy2MgCdIr4 at its relaxed geometry.

Summary:
Calculated total energy: -6.3038 eV per atom

a b c (Å): 4.667 4.667 6.651
angles (deg): 90.00 90.00 90.00
Space group P4/mmm (No. 123)
Inequivalent atoms, fractional coordinates:
Dy: 0.000 0.000 0.000
Dy: 0.500 0.500 0.500
Mg: 0.000 0.000 0.500
Cd: 0.500 0.500 0.000
Ir: 0.000 0.500 0.257


# 4
A plane-wave DFT calculation with GGA-PBE was carried out for crystalline K3PdF at its relaxed geometry.

Summary:
Calculated total energy: -3.0978 eV per atom

a b c (Å): 5.134 5.134 5.134
angles (deg): 90.00 90.00 90.00
Space group Pm-3m (No. 221)
Inequivalent atoms, fractional coordinates:
K: 0.000 0.000 0.500
Pd: 0.500 0.500 0.500
F: 0.000 0.000 0.000


# 5
A plane-wave DFT calculation with GGA-PBE was carried out for crystalline NiMoP at its relaxed geometry.

Summary:
Calculated total energy: -7.5387 eV per atom

a b c (Å): 6.4575 6.4575 3.2859
angles (deg): 90.00 90.00 120.00
Space group P-62m (No. 189)
Inequivalent atoms, fractional coordinates:
Ni: 0.0000 0.6030 0.0000
Mo: 0.0000 0.2717 0.5000
P: 0.0000 0.0000 0.0000
P: 0.3333 0.6667 0.5000


# 6
A plane-wave DFT calculation with GGA-PBE was carried out for crystalline PmSbN2O at its relaxed geometry.

Summary:
Calculated total energy: -6.9970 eV per atom

a b c (Å): 5.727 5.756 9.772
angles (deg): 73.33 73.52 60.29
Space group P1 (No. 1)
Inequivalent atoms, fractional coordinates:
Pm: 0.000 0.000 0.000
Pm: 0.206 0.225 0.269
Pm: 0.497 0.463 0.538
Pm: 0.728 0.730 0.769
Sb: 0.113 0.126 0.641
Sb: 0.366 0.346 0.904
Sb: 0.610 0.617 0.137
Sb: 0.833 0.845 0.393
N: 0.082 0.490 0.511
N: 0.313 0.152 0.777
N: 0.424 0.598 0.993
N: 0.494 0.880 0.546
N: 0.565 0.000 0.044
N: 0.732 0.310 0.761
N: 0.754 0.612 0.306
N: 0.997 0.396 0.037
O: 0.142 0.740 0.768
O: 0.167 0.843 0.242
O: 0.615 0.234 0.276
O: 0.930 0.059 0.497


# 7
A plane-wave DFT calculation with GGA-PBE was carried out for crystalline PrTlCdS3 at its relaxed geometry.

Summary:
Calculated total energy: -4.5047 eV per atom

a b c (Å): 4.224 14.156 11.131
angles (deg): 90.00 90.00 90.00
Space group Cmcm (No. 63)
Inequivalent atoms, fractional coordinates:
Pr: 0.000 0.000 0.000
Tl: 0.000 0.256 0.250
Cd: 0.000 0.458 0.750
S: 0.000 0.067 0.750
S: 0.000 0.369 0.556


# 8
A plane-wave DFT calculation with GGA-PBE was carried out for crystalline ScAsOs at its relaxed geometry.

Summary:
Calculated total energy: -7.1130 eV per atom

a b c (Å): 6.142 6.142 6.142
angles (deg): 90.00 90.00 90.00
Space group F-43m (No. 216)
Inequivalent atoms, fractional coordinates:
Sc: 0.000 0.000 0.000
As: 0.250 0.250 0.750
Os: 0.250 0.250 0.250


# 9
A plane-wave DFT calculation with GGA-PBE was carried out for crystalline Lu2HfZn at its relaxed geometry.

Summary:
Calculated total energy: -4.8906 eV per atom

a b c (Å): 7.144 7.144 7.144
angles (deg): 90.00 90.00 90.00
Space group F-43m (No. 216)
Inequivalent atoms, fractional coordinates:
Lu: 0.000 0.000 0.000
Lu: 0.250 0.250 0.250
Hf: 0.250 0.250 0.750
Zn: 0.000 0.000 0.500


# 10
A plane-wave DFT calculation with GGA-PBE was carried out for crystalline Sr2TaTc at its relaxed geometry.

Summary:
Calculated total energy: -5.3644 eV per atom

a b c (Å): 7.242 7.242 7.242
angles (deg): 90.00 90.00 90.00
Space group F-43m (No. 216)
Inequivalent atoms, fractional coordinates:
Sr: 0.000 0.000 0.000
Sr: 0.250 0.250 0.250
Ta: 0.000 0.000 0.500
Tc: 0.250 0.250 0.750


# 11
A plane-wave DFT calculation with GGA-PBE was carried out for crystalline PuNiMo at its relaxed geometry.

Summary:
Calculated total energy: -9.2435 eV per atom

a b c (Å): 5.978 5.978 5.978
angles (deg): 90.00 90.00 90.00
Space group F-43m (No. 216)
Inequivalent atoms, fractional coordinates:
Pu: 0.000 0.000 0.000
Ni: 0.250 0.250 0.250
Mo: 0.000 0.000 0.500


# 12
A plane-wave DFT calculation with GGA-PBE was carried out for crystalline HoTmNp at its relaxed geometry.

Summary:
Calculated total energy: -6.1214 eV per atom

a b c (Å): 7.423 7.423 7.423
angles (deg): 90.00 90.00 90.00
Space group F-43m (No. 216)
Inequivalent atoms, fractional coordinates:
Ho: 0.000 0.000 0.000
Tm: 0.250 0.250 0.250
Np: 0.000 0.000 0.500